DFT (GGA-PBE) results for a relaxed structure of PaNi5B2.

Output
* mass density: 10.039 g/cm³
* energy of formation from the pure elements: -0.43 eV/atom
* E_tot: -6.899 eV/atom

a = 5.487 Å, b = 5.487 Å, c = 5.487 Å
α = 142.88°, β = 111.42°, γ = 80.64°
Element x y z (fractional)
Pa: 0.000 0.000 0.000
Ni: 0.150 0.344 0.806
Ni: 0.463 0.656 0.806
Ni: 0.500 0.000 0.500
Ni: 0.537 0.344 0.194
Ni: 0.850 0.656 0.194
B: 0.258 0.758 0.500
B: 0.742 0.242 0.500